VASP calculation (PBE) on a relaxed structure of EuErInCu.

```
EuErInCu
1.0
0.0000 3.7073 3.7073
3.7073 0.0000 3.7073
3.7073 3.7073 0.0000
Eu Er In Cu
1 1 1 1
direct
0.0000 0.0000 0.0000
0.5000 0.5000 0.5000
0.2500 0.2500 0.2500
0.7500 0.7500 0.7500
```

## Properties
V = 25.48 A^3/atom
total energy = -22.61 eV/cell
formation energy from the elements = -234 meV per atom